[1]
# YTmSiNi

A relaxed YTmSiNi crystal (GGA-PBE, Alexandria).

abc: 4.0189 3.9618 10.5050
angles: 90.00 90.00 90.00
Positions (direct):
Y 0.0000 0.0000 0.0000
Y 0.0000 0.5000 0.5000
Tm 0.5000 0.0000 0.7177
Tm 0.5000 0.5000 0.2177
Si 0.5000 0.0000 0.4242
Si 0.5000 0.5000 0.9242
Ni 0.0000 0.0000 0.2888
Ni 0.0000 0.5000 0.7888

Results
Space group = Amm2
Excess energy over the best structure of this formula in the dataset = 0.00 eV/f.u.
Uncorrected formation energy = -657 meV per atom
Calculated density = 6.84 g/cm³

[2]
# TmZnSi2Ni4

A relaxed TmZnSi2Ni4 crystal (GGA-PBE, Alexandria).

abc: 8.4637 8.4637 8.4637
angles: 26.87 26.87 26.87
Positions (direct):
Tm 0.0000 0.0000 0.0000
Zn 0.5000 0.5000 0.5000
Si 0.2440 0.2440 0.2440
Si 0.7560 0.7560 0.7560
Ni 0.1285 0.1285 0.1285
Ni 0.4046 0.4046 0.4046
Ni 0.5954 0.5954 0.5954
Ni 0.8715 0.8715 0.8715

Results
Space group = R-3m
Uncorrected formation energy = -506 meV per atom
Calculated density = 7.98 g/cm³

[3]
# Tm2ZnSi3Ni12

A relaxed Tm2ZnSi3Ni12 crystal (GGA-PBE, Alexandria).

abc: 6.2339 6.2339 6.2339
angles: 84.34 84.34 84.34
Positions (direct):
Tm 0.1539 0.1539 0.1539
Tm 0.8461 0.8461 0.8461
Zn 0.5000 0.5000 0.5000
Si 0.0000 0.5000 0.5000
Si 0.5000 0.0000 0.5000
Si 0.5000 0.5000 0.0000
Ni 0.1140 0.1140 0.5980
Ni 0.1140 0.5980 0.1140
Ni 0.2015 0.6872 0.6872
Ni 0.3128 0.3128 0.7985
Ni 0.3128 0.7985 0.3128
Ni 0.4020 0.8860 0.8860
Ni 0.5980 0.1140 0.1140
Ni 0.6872 0.2015 0.6872
Ni 0.6872 0.6872 0.2015
Ni 0.7985 0.3128 0.3128
Ni 0.8860 0.4020 0.8860
Ni 0.8860 0.8860 0.4020

Results
Space group = R-3m
Uncorrected formation energy = -216 meV per atom
Calculated density = 8.28 g/cm³

[4]
# TmZn2SiNi4

A relaxed TmZn2SiNi4 crystal (GGA-PBE, Alexandria).

abc: 8.1261 8.1261 8.1261
angles: 28.99 28.99 28.99
Positions (direct):
Tm 0.0000 0.0000 0.0000
Zn 0.2465 0.2465 0.2465
Zn 0.7535 0.7535 0.7535
Si 0.5000 0.5000 0.5000
Ni 0.1345 0.1345 0.1345
Ni 0.4045 0.4045 0.4045
Ni 0.5955 0.5955 0.5955
Ni 0.8655 0.8655 0.8655

Results
Space group = R-3m
Uncorrected formation energy = -381 meV per atom
Calculated density = 8.38 g/cm³

[5]
# TmZn2SiNi2

A relaxed TmZn2SiNi2 crystal (GGA-PBE, Alexandria).

abc: 4.2618 4.2618 5.4722
angles: 90.00 90.00 90.00
Positions (direct):
Tm 0.0000 0.0000 0.0000
Zn 0.5000 0.5000 0.2338
Zn 0.5000 0.5000 0.7662
Si 0.0000 0.0000 0.5000
Ni 0.0000 0.5000 0.5000
Ni 0.5000 0.0000 0.5000

Results
Space group = P4/mmm
Uncorrected formation energy = -272 meV per atom
Calculated density = 7.44 g/cm³

[6]
# Tm3ZnSi6Ni2

A relaxed Tm3ZnSi6Ni2 crystal (GGA-PBE, Alexandria).

abc: 5.4971 5.4971 8.2029
angles: 90.00 90.00 120.00
Positions (direct):
Tm 0.0000 0.0000 0.0000
Tm 0.3333 0.6667 0.5931
Tm 0.6667 0.3333 0.4069
Zn 0.0000 0.0000 0.5000
Si 0.1849 0.3698 0.2698
Si 0.1849 0.8151 0.2698
Si 0.3698 0.1849 0.7302
Si 0.6302 0.8151 0.2698
Si 0.8151 0.1849 0.7302
Si 0.8151 0.6302 0.7302
Ni 0.3333 0.6667 0.0432
Ni 0.6667 0.3333 0.9568

Results
Space group = P-3m1
Uncorrected formation energy = -255 meV per atom
Calculated density = 6.64 g/cm³

[7]
# TmZnSi2Ni5

A relaxed TmZnSi2Ni5 crystal (GGA-PBE, Alexandria).

abc: 3.8730 3.8730 8.3021
angles: 90.00 90.00 90.00
Positions (direct):
Tm 0.0000 0.0000 0.0000
Zn 0.0000 0.0000 0.5000
Si 0.5000 0.5000 0.3631
Si 0.5000 0.5000 0.6369
Ni 0.0000 0.5000 0.2314
Ni 0.0000 0.5000 0.7686
Ni 0.5000 0.0000 0.2314
Ni 0.5000 0.0000 0.7686
Ni 0.5000 0.5000 0.0000

Results
Space group = P4/mmm
Uncorrected formation energy = -281 meV per atom
Calculated density = 7.79 g/cm³

[8]
# Tm2ZnSi3Ni4

A relaxed Tm2ZnSi3Ni4 crystal (GGA-PBE, Alexandria).

abc: 3.9485 3.9485 9.5824
angles: 90.00 90.00 90.00
Positions (direct):
Tm 0.0000 0.5000 0.2484
Tm 0.5000 0.0000 0.7516
Zn 0.0000 0.0000 0.5000
Si 0.0000 0.5000 0.8724
Si 0.5000 0.0000 0.1276
Si 0.5000 0.5000 0.5000
Ni 0.0000 0.0000 0.0000
Ni 0.0000 0.5000 0.6379
Ni 0.5000 0.0000 0.3621
Ni 0.5000 0.5000 0.0000

Results
Space group = P-4m2
Uncorrected formation energy = -735 meV per atom
Calculated density = 8.03 g/cm³

[9]
# Tm2Zn2SiNi5

A relaxed Tm2Zn2SiNi5 crystal (GGA-PBE, Alexandria).

abc: 9.4736 9.4736 3.2523
angles: 90.00 90.00 90.00
Positions (direct):
Tm 0.1735 0.3265 0.0000
Tm 0.3265 0.8265 0.0000
Tm 0.6735 0.1735 0.0000
Tm 0.8265 0.6735 0.0000
Zn 0.1269 0.6269 0.0000
Zn 0.3731 0.1269 0.0000
Zn 0.6269 0.8731 0.0000
Zn 0.8731 0.3731 0.0000
Si 0.0000 0.0000 0.0000
Si 0.5000 0.5000 0.0000
Ni 0.0000 0.5000 0.5000
Ni 0.0500 0.8114 0.5000
Ni 0.1886 0.0500 0.5000
Ni 0.3114 0.5500 0.5000
Ni 0.4500 0.3114 0.5000
Ni 0.5000 0.0000 0.5000
Ni 0.5500 0.6886 0.5000
Ni 0.6886 0.4500 0.5000
Ni 0.8114 0.9500 0.5000
Ni 0.9500 0.1886 0.5000

Results
Space group = P4/mbm
Uncorrected formation energy = -340 meV per atom
Calculated density = 8.99 g/cm³

[10]
# Tm2ZnSi2Ni5

A relaxed Tm2ZnSi2Ni5 crystal (GGA-PBE, Alexandria).

abc: 9.4376 9.4376 3.3138
angles: 90.00 90.00 90.00
Positions (direct):
Tm 0.1785 0.3215 0.0000
Tm 0.3215 0.8215 0.0000
Tm 0.6785 0.1785 0.0000
Tm 0.8215 0.6785 0.0000
Zn 0.0000 0.0000 0.0000
Zn 0.5000 0.5000 0.0000
Si 0.1192 0.6192 0.0000
Si 0.3808 0.1192 0.0000
Si 0.6192 0.8808 0.0000
Si 0.8808 0.3808 0.0000
Ni 0.0000 0.5000 0.5000
Ni 0.0602 0.7838 0.5000
Ni 0.2162 0.0602 0.5000
Ni 0.2838 0.5602 0.5000
Ni 0.4398 0.2838 0.5000
Ni 0.5000 0.0000 0.5000
Ni 0.5602 0.7162 0.5000
Ni 0.7162 0.4398 0.5000
Ni 0.7838 0.9398 0.5000
Ni 0.9398 0.2162 0.5000

Results
Space group = P4/mbm
Uncorrected formation energy = -465 meV per atom
Calculated density = 8.47 g/cm³

[11]
# USi4Ni6

A relaxed USi4Ni6 crystal (GGA-PBE, Alexandria).

abc: 6.6209 6.6209 3.7152
angles: 90.00 90.00 120.00
Positions (direct):
U 0.0000 0.0000 0.0000
Si 0.3333 0.6667 0.0000
Si 0.3951 0.1975 0.5000
Si 0.8025 0.1975 0.5000
Si 0.8025 0.6049 0.5000
Ni 0.2034 0.4068 0.5000
Ni 0.2034 0.7966 0.5000
Ni 0.5353 0.0706 0.0000
Ni 0.5353 0.4647 0.0000
Ni 0.5932 0.7966 0.5000
Ni 0.9294 0.4647 0.0000

Results
Space group = P-6m2
Uncorrected formation energy = -555 meV per atom
Calculated density = 8.27 g/cm³

[12]
# USi4Ni2

A relaxed USi4Ni2 crystal (GGA-PBE, Alexandria).

abc: 17.4715 3.8534 6.1807
angles: 90.00 90.00 90.00
Positions (direct):
U 0.1407 0.2500 0.0193
U 0.3593 0.7500 0.5193
U 0.6407 0.2500 0.4807
U 0.8593 0.7500 0.9807
Si 0.0271 0.7500 0.1253
Si 0.0672 0.2500 0.5326
Si 0.1630 0.7500 0.6887
Si 0.2102 0.7500 0.2955
Si 0.2898 0.2500 0.7955
Si 0.3370 0.2500 0.1887
Si 0.4328 0.7500 0.0326
Si 0.4729 0.2500 0.6253
Si 0.5271 0.7500 0.3747
Si 0.5672 0.2500 0.9674
Si 0.6630 0.7500 0.8113
Si 0.7102 0.7500 0.2045
Si 0.7898 0.2500 0.7045
Si 0.8370 0.2500 0.3113
Si 0.9328 0.7500 0.4674
Si 0.9729 0.2500 0.8747
Ni 0.0244 0.7500 0.7345
Ni 0.1994 0.2500 0.5082
Ni 0.3006 0.7500 0.0082
Ni 0.4756 0.2500 0.2345
Ni 0.5244 0.7500 0.7655
Ni 0.6994 0.2500 0.9918
Ni 0.8006 0.7500 0.4918
Ni 0.9756 0.2500 0.2655

Results
Space group = Pnma
Uncorrected formation energy = -380 meV per atom
Calculated density = 7.47 g/cm³

[13]
# USi3Ni3

A relaxed USi3Ni3 crystal (GGA-PBE, Alexandria).

abc: 6.5523 3.9403 8.3253
angles: 90.00 112.28 90.00
Positions (direct):
U 0.1031 0.2500 0.2314
U 0.8969 0.7500 0.7686
Si 0.1653 0.7500 0.5155
Si 0.2717 0.2500 0.9443
Si 0.4885 0.7500 0.4044
Si 0.5115 0.2500 0.5956
Si 0.7283 0.7500 0.0557
Si 0.8347 0.2500 0.4845
Ni 0.1967 0.2500 0.6553
Ni 0.3514 0.7500 0.1085
Ni 0.3925 0.7500 0.8172
Ni 0.6075 0.2500 0.1828
Ni 0.6486 0.2500 0.8915
Ni 0.8033 0.7500 0.3447

Results
Space group = P2_1/m
Excess energy over the best structure of this formula in the dataset = 0.00 eV/f.u.
Uncorrected formation energy = -449 meV per atom
Calculated density = 8.32 g/cm³

[14]
# USi3Ni5

A relaxed USi3Ni5 crystal (GGA-PBE, Alexandria).

abc: 6.1510 6.1510 11.5052
angles: 90.00 90.00 145.71
Positions (direct):
U 0.1551 0.8449 0.7500
U 0.8449 0.1551 0.2500
Si 0.1200 0.8800 0.2500
Si 0.3834 0.6166 0.0440
Si 0.3834 0.6166 0.4560
Si 0.6166 0.3834 0.5440
Si 0.6166 0.3834 0.9560
Si 0.8800 0.1200 0.7500
Ni 0.0000 0.0000 0.0000
Ni 0.0000 0.0000 0.5000
Ni 0.1973 0.8027 0.0654
Ni 0.1973 0.8027 0.4346
Ni 0.4464 0.5536 0.6452
Ni 0.4464 0.5536 0.8548
Ni 0.5536 0.4464 0.1452
Ni 0.5536 0.4464 0.3548
Ni 0.8027 0.1973 0.5654
Ni 0.8027 0.1973 0.9346

Results
Space group = Cmcm
Uncorrected formation energy = -519 meV per atom
Calculated density = 8.34 g/cm³

[15]
# USi2Ni4

A relaxed USi2Ni4 crystal (GGA-PBE, Alexandria).

abc: 3.4933 3.4933 16.3471
angles: 90.00 90.00 90.00
Positions (direct):
U 0.0000 0.0000 0.0000
U 0.5000 0.5000 0.5000
Si 0.0000 0.0000 0.3583
Si 0.0000 0.0000 0.6417
Si 0.5000 0.5000 0.1417
Si 0.5000 0.5000 0.8583
Ni 0.0000 0.0000 0.1454
Ni 0.0000 0.0000 0.8546
Ni 0.0000 0.5000 0.2500
Ni 0.0000 0.5000 0.7500
Ni 0.5000 0.0000 0.2500
Ni 0.5000 0.0000 0.7500
Ni 0.5000 0.5000 0.3546
Ni 0.5000 0.5000 0.6454

Results
Space group = I4/mmm
Uncorrected formation energy = -133 meV per atom
Calculated density = 8.81 g/cm³

[16]
# USiNi11

A relaxed USiNi11 crystal (GGA-PBE, Alexandria).

abc: 6.1964 6.1964 6.1714
angles: 97.56 97.56 135.78
Positions (direct):
U 0.0000 0.0000 0.0000
Si 0.5000 0.5000 0.5000
Ni 0.0000 0.0000 0.5000
Ni 0.0000 0.5000 0.0000
Ni 0.0078 0.6581 0.6501
Ni 0.2909 0.5067 0.7809
Ni 0.3419 0.9922 0.3499
Ni 0.4933 0.7091 0.2191
Ni 0.5000 0.0000 0.0000
Ni 0.5067 0.2909 0.7809
Ni 0.6581 0.0078 0.6501
Ni 0.7091 0.4933 0.2191
Ni 0.9922 0.3419 0.3499

Results
Space group = C2/m
Uncorrected formation energy = -235 meV per atom
Calculated density = 9.78 g/cm³

[17]
# U3Si7Ni2

A relaxed U3Si7Ni2 crystal (GGA-PBE, Alexandria).

abc: 4.0155 4.0318 12.3246
angles: 90.00 98.85 90.00
Positions (direct):
U 0.0000 0.0000 0.0000
U 0.3065 0.5000 0.6276
U 0.6935 0.5000 0.3724
Si 0.1419 0.5000 0.1753
Si 0.2260 0.0000 0.4462
Si 0.4225 0.0000 0.8268
Si 0.5000 0.5000 0.0000
Si 0.5775 0.0000 0.1732
Si 0.7740 0.0000 0.5538
Si 0.8581 0.5000 0.8247
Ni 0.1113 0.0000 0.2585
Ni 0.8887 0.0000 0.7415

Results
Space group = P2/m
Uncorrected formation energy = -433 meV per atom
Calculated density = 8.66 g/cm³

[18]
# USi4Ni4

A relaxed USi4Ni4 crystal (GGA-PBE, Alexandria).

abc: 5.6356 5.6356 7.7884
angles: 90.00 90.00 90.00
Positions (direct):
U 0.2500 0.7500 0.2500
U 0.7500 0.2500 0.7500
Si 0.0373 0.2500 0.0651
Si 0.2500 0.0373 0.5651
Si 0.2500 0.4627 0.5651
Si 0.4627 0.2500 0.0651
Si 0.5373 0.7500 0.9349
Si 0.7500 0.5373 0.4349
Si 0.7500 0.9627 0.4349
Si 0.9627 0.7500 0.9349
Ni 0.0244 0.2500 0.3597
Ni 0.2500 0.0244 0.8597
Ni 0.2500 0.4756 0.8597
Ni 0.4756 0.2500 0.3597
Ni 0.5244 0.7500 0.6403
Ni 0.7500 0.5244 0.1403
Ni 0.7500 0.9756 0.1403
Ni 0.9756 0.7500 0.6403

Results
Space group = P4_2/nmc
Uncorrected formation energy = -445 meV per atom
Calculated density = 7.86 g/cm³

[19]
# U2Si6Ni21

A relaxed U2Si6Ni21 crystal (GGA-PBE, Alexandria).

abc: 7.9682 7.9682 7.9682
angles: 60.00 60.00 60.00
Positions (direct):
U 0.2500 0.2500 0.2500
U 0.7500 0.7500 0.7500
Si 0.2390 0.2390 0.7610
Si 0.2390 0.7610 0.2390
Si 0.2390 0.7610 0.7610
Si 0.7610 0.2390 0.2390
Si 0.7610 0.2390 0.7610
Si 0.7610 0.7610 0.2390
Ni 0.1173 0.1173 0.1173
Ni 0.1173 0.1173 0.6480
Ni 0.1173 0.6480 0.1173
Ni 0.1471 0.5000 0.5000
Ni 0.1471 0.5000 0.8529
Ni 0.1471 0.8529 0.5000
Ni 0.3520 0.8827 0.8827
Ni 0.5000 0.1471 0.5000
Ni 0.5000 0.1471 0.8529
Ni 0.5000 0.5000 0.1471
Ni 0.5000 0.5000 0.5000
Ni 0.5000 0.5000 0.8529
Ni 0.5000 0.8529 0.1471
Ni 0.5000 0.8529 0.5000
Ni 0.6480 0.1173 0.1173
Ni 0.8529 0.1471 0.5000
Ni 0.8529 0.5000 0.1471
Ni 0.8529 0.5000 0.5000
Ni 0.8827 0.3520 0.8827
Ni 0.8827 0.8827 0.3520
Ni 0.8827 0.8827 0.8827

Results
Space group = Fm-3m
Uncorrected formation energy = -364 meV per atom
Calculated density = 8.71 g/cm³